DyTi4N6: relaxed, PBE.

Summary:
SG = Cmcm, No. 63
formation energy without anion corrections = -1.58 eV/atom
ρ = 6.21 g cm⁻³
total DFT energy (no corrections) = -207.0 eV per cell

Unit cell a=3.032 b=5.220 c=15.456 alpha=90.00 beta=90.00 gamma=106.88
Fractional positions:
Ti1 0.607 0.213 0.867
Ti2 0.870 0.740 0.549
N1 0.500 0.000 0.500
N2 0.966 0.931 0.844
N3 0.034 0.069 0.344
Ti3 0.607 0.213 0.633
N4 0.034 0.069 0.156
Ti4 0.130 0.260 0.049
N5 0.232 0.465 0.916
N6 0.500 0.000 0.000
N7 0.232 0.465 0.584
N8 0.768 0.535 0.084
Dy1 0.652 0.303 0.250
N9 0.328 0.657 0.250
N10 0.672 0.343 0.750
Dy2 0.348 0.697 0.750
N11 0.966 0.931 0.656
Ti5 0.130 0.260 0.451
Ti6 0.393 0.787 0.133
Ti7 0.393 0.787 0.367
Ti8 0.870 0.740 0.951
N12 0.768 0.535 0.416